Entry from Alexandria via LeMat-Bulk: an optimized crystal structure of Ba2YIn2 (PBE).

Computed properties:
Energy of formation from the pure elements ... -0.22 eV per atom
Calculated density ... 5.0 g/cm3
Crystal system ... tetragonal

```
data_Ba2YIn2
_symmetry_space_group_name_H-M 'P 4/m b m'
_symmetry_Int_Tables_number 127
_symmetry_space_group_name_Hall '-P 4 2ab'
_cell_length_a 8.354
_cell_length_b 8.354
_cell_length_c 5.599
_cell_angle_alpha 90.00
_cell_angle_beta 90.00
_cell_angle_gamma 90.00
loop_
_atom_site_label
_atom_site_type_symbol
_atom_site_fract_x
_atom_site_fract_y
_atom_site_fract_z
Ba1 Ba 0.171 0.329 0.000
Y1 Y 0.000 0.000 0.500
In1 In 0.129 0.629 0.500
```